# BeRuAu2

BeRuAu2 after structural relaxation (PBE-GGA, Alexandria).

The structure in extended XYZ format:
```
4
Lattice="-1.082 2.095 -2.258 -2.694 -1.306 0.080 -3.080 3.197 4.442" Properties=species:S:1:pos:R:3 pbc="T T T"
Au -3.205 3.018 4.336
Be -2.495 1.441 2.533
Au -2.544 1.396 0.155
Ru -4.579 2.274 1.944
```

Total magnetization: 0.03 μB per formula unit
Density of states at the Fermi level: 0.959 states/eV per atom
Space group: Amm2
V: 59.6 Å³ per cell

---

# Be2RuAu

Be2RuAu after structural relaxation (PBE-GGA, Alexandria).

The structure in extended XYZ format:
```
4
Lattice="4.960 0.000 0.000 2.689 4.169 0.000 -3.825 -2.085 2.374" Properties=species:S:1:pos:R:3 pbc="T T T"
Be 0.000 0.000 0.000
Au 2.480 0.000 1.187
Be 1.344 2.084 1.187
Ru 3.825 2.085 0.000
```

Total magnetization: 0.00 μB per formula unit
Energy above the most stable polymorph in this dataset: 1.17 eV/f.u.
Density of states at the Fermi level: 0.729 states/eV per atom
Space group: I-4m2
V: 49.1 Å³ per cell

---

# BeRuAu2

BeRuAu2 after structural relaxation (PBE-GGA, Alexandria).

The structure in extended XYZ format:
```
8
Lattice="3.735 0.000 0.000 0.000 3.735 0.000 1.868 1.868 9.379" Properties=species:S:1:pos:R:3 pbc="T T T"
Ru 0.000 0.000 0.000
Be 1.868 3.735 4.689
Be 1.868 1.868 0.000
Au 2.801 2.817 7.034
Au 2.786 0.934 2.345
Au 0.950 2.801 2.345
Au 4.669 4.653 7.034
Ru 3.735 1.868 4.689
```

Total magnetization: 0.02 μB per formula unit
Density of states at the Fermi level: 0.717 states/eV per atom
Space group: I-42d
V: 130.9 Å³ per cell

---

# Be3RuAu

Be3RuAu after structural relaxation (PBE-GGA, Alexandria).

The structure in extended XYZ format:
```
5
Lattice="-1.023 -4.006 0.647 2.321 -1.125 -3.295 3.328 -0.447 2.496" Properties=species:S:1:pos:R:3 pbc="T T T"
Be -0.512 -2.003 0.324
Be 1.664 -0.223 1.248
Au 0.000 0.000 0.000
Ru 2.313 -2.789 -0.076
Be 1.160 -0.563 -1.648
```

Total magnetization: 0.82 μB per formula unit
Energy above the most stable polymorph in this dataset: 1.21 eV/f.u.
Density of states at the Fermi level: 0.662 states/eV per atom
Space group: Pm-3m
V: 73.3 Å³ per cell

---

So what do the calculations give for total DFT energy (no corrections)? Going down the list: -19.21, -19.91, -34.50, -19.44 eV/cell.